# GGA-PBEsol LaZnNi2, relaxed
# Density ... 8.51 g/cm3
# Formation energy ... -0.35 eV/atom
data_LaZnNi2
_symmetry_space_group_name_H-M 'P 63/m m c'
_symmetry_Int_Tables_number 194
_symmetry_space_group_name_Hall '-P 6c 2c'
_cell_length_a 5.1889
_cell_length_b 5.1889
_cell_length_c 16.1531
_cell_angle_alpha 90.00
_cell_angle_beta 90.00
_cell_angle_gamma 120.00
loop_
_atom_site_label
_atom_site_type_symbol
_atom_site_fract_x
_atom_site_fract_y
_atom_site_fract_z
_atom_site_occupancy
La1 La 0.3333 0.6667 0.0466 1
La2 La 0.3333 0.6667 0.2500 1
Zn1 Zn 0.0000 0.0000 0.0000 1
Zn2 Zn 0.0000 0.0000 0.2500 1
Zn3 Zn 0.3333 0.6667 0.7500 1
Ni1 Ni 0.1671 0.3342 0.6274 1



# GGA-PBEsol LaZnNi2, relaxed
# Density ... 7.54 g/cm3
# Formation energy ... -0.26 eV/atom
data_LaZnNi2
_symmetry_space_group_name_H-M 'C 1 m 1'
_symmetry_Int_Tables_number 8
_cell_length_a 7.048
_cell_length_b 4.072
_cell_length_c 5.471
_cell_angle_alpha 90.00
_cell_angle_beta 115.51
_cell_angle_gamma 90.00
loop_
_symmetry_equiv_pos_as_xyz
'x,y,z'
'x,-y,z'
'x+1/2,y+1/2,z'
'x+1/2,-y+1/2,z'
loop_
_atom_site_label
_atom_site_type_symbol
_atom_site_fract_x
_atom_site_fract_y
_atom_site_fract_z
_atom_site_occupancy
La1 La 0.000 0.000 0.000 1
Zn1 Zn 0.304 0.500 0.412 1
Ni1 Ni 0.018 0.500 0.555 1
Ni2 Ni 0.202 0.000 0.606 1



# GGA-PBEsol LaZnNi2, relaxed
# Density ... 8.06 g/cm3
# Formation energy ... 0.00 eV/atom
data_LaZnNi2
_symmetry_space_group_name_H-M 'P m m 2'
_symmetry_Int_Tables_number 25
_cell_length_a 3.301
_cell_length_b 3.744
_cell_length_c 5.364
_cell_angle_alpha 90.00
_cell_angle_beta 90.00
_cell_angle_gamma 90.00
loop_
_symmetry_equiv_pos_as_xyz
'x,y,z'
'-x,-y,z'
'-x,y,z'
'x,-y,z'
loop_
_atom_site_label
_atom_site_type_symbol
_atom_site_fract_x
_atom_site_fract_y
_atom_site_fract_z
_atom_site_occupancy
La1 La 0.000 0.000 0.000 1
Zn1 Zn 0.500 0.500 0.652 1
Ni1 Ni 0.000 0.000 0.491 1
Ni2 Ni 0.500 0.500 0.223 1



# GGA-PBEsol LaZn2Ni, relaxed
# Density ... 7.15 g/cm3
# Formation energy ... -0.14 eV/atom
data_LaZn2Ni
_symmetry_space_group_name_H-M 'P 1 m 1'
_symmetry_Int_Tables_number 6
_cell_length_a 3.477
_cell_length_b 3.833
_cell_length_c 5.969
_cell_angle_alpha 90.00
_cell_angle_beta 106.60
_cell_angle_gamma 90.00
loop_
_symmetry_equiv_pos_as_xyz
'x,y,z'
'x,-y,z'
loop_
_atom_site_label
_atom_site_type_symbol
_atom_site_fract_x
_atom_site_fract_y
_atom_site_fract_z
_atom_site_occupancy
La1 La 0.000 0.000 0.000 1
Zn1 Zn 0.276 0.500 0.561 1
Zn2 Zn 0.731 0.000 0.471 1
Ni1 Ni 0.609 0.500 0.221 1



# GGA-PBEsol La4Os6O19, relaxed
# Density ... 9.00 g/cm3
# Formation energy (no corrections) ... -1.89 eV per atom
data_La4Os6O19
_symmetry_space_group_name_H-M 'I 2 3'
_symmetry_Int_Tables_number 197
_symmetry_space_group_name_Hall 'I 2 2 3'
_cell_length_a 9.039
_cell_length_b 9.039
_cell_length_c 9.039
_cell_angle_alpha 90.00
_cell_angle_beta 90.00
_cell_angle_gamma 90.00
loop_
_atom_site_label
_atom_site_type_symbol
_atom_site_fract_x
_atom_site_fract_y
_atom_site_fract_z
_atom_site_occupancy
La1 La 0.158 0.158 0.842 1
Os1 Os 0.000 0.137 0.500 1
O1 O 0.000 0.000 0.000 1
O2 O 0.000 0.000 0.323 1
O3 O 0.014 0.284 0.343 1



# GGA-PBEsol La3Os2O10, relaxed
# Density ... 8.22 g/cm3
# Formation energy (no corrections) ... -2.34 eV per atom
data_La3Os2O10
_symmetry_space_group_name_H-M 'C 1 2/m 1'
_symmetry_Int_Tables_number 12
_cell_length_a 7.837
_cell_length_b 7.957
_cell_length_c 6.889
_cell_angle_alpha 90.00
_cell_angle_beta 115.78
_cell_angle_gamma 90.00
loop_
_symmetry_equiv_pos_as_xyz
'x,y,z'
'-x,-y,-z'
'-x,y,-z'
'x,-y,z'
'x+1/2,y+1/2,z'
'-x+1/2,-y+1/2,-z'
'-x+1/2,y+1/2,-z'
'x+1/2,-y+1/2,z'
loop_
_atom_site_label
_atom_site_type_symbol
_atom_site_fract_x
_atom_site_fract_y
_atom_site_fract_z
_atom_site_occupancy
La1 La 0.000 0.000 0.000 1
La2 La 0.000 0.258 0.500 1
Os1 Os 0.132 0.500 0.178 1
O1 O 0.095 0.000 0.715 1
O2 O 0.139 0.261 0.211 1
O3 O 0.143 0.500 0.893 1
O4 O 0.175 0.500 0.479 1